Entry 1:
# Nd2BeInPt6

An optimized crystal structure of Nd2BeInPt6 (PBE, the Alexandria database).

a = 5.795 Å, b = 7.614 Å, c = 7.615 Å
α = 44.73°, β = 67.63°, γ = 89.99°
Sites, in units of the cell vectors:
Nd1 0.777 0.223 0.446
Nd2 0.223 0.777 0.554
Be1 0.000 0.000 0.000
In1 0.500 0.500 0.000
Pt1 0.236 0.282 0.529
Pt2 0.719 0.764 0.046
Pt3 0.236 0.765 0.047
Pt4 0.764 0.235 0.953
Pt5 0.281 0.236 0.954
Pt6 0.764 0.718 0.471

Output
DFT formation energy: -0.746 eV/atom

---

Entry 2:
# AlCr2CuS

An optimized crystal structure of AlCr2CuS (PBE, the Alexandria database).

a = 4.218 Å, b = 4.525 Å, c = 4.218 Å
α = 90.00°, β = 90.00°, γ = 90.00°
Sites, in units of the cell vectors:
Cr1 0.000 0.000 0.500
Cr2 0.500 0.000 0.000
S1 0.000 0.000 0.000
Al1 0.000 0.500 0.000
Cu1 0.500 0.500 0.500

Output
Formation energy from raw total energies: 0.5414 eV/atom

---

Entry 3:
# Cu2SnHRh

An optimized crystal structure of Cu2SnHRh (PBE, the Alexandria database).

a = 3.978 Å, b = 3.978 Å, c = 3.895 Å
α = 90.00°, β = 90.00°, γ = 90.00°
Sites, in units of the cell vectors:
H1 0.000 0.000 0.000
Rh1 0.000 0.000 0.500
Sn1 0.500 0.500 0.500
Cu1 0.000 0.500 0.000
Cu2 0.500 0.000 0.000

Output
Total DFT energy (no corrections): -4.65 eV per atom

---

Entry 4:
# Dy2ZnNi2

An optimized crystal structure of Dy2ZnNi2 (PBE, the Alexandria database).

a = 5.393 Å, b = 5.393 Å, c = 7.696 Å
α = 76.72°, β = 76.72°, γ = 59.24°
Sites, in units of the cell vectors:
Dy1 0.505 0.201 0.147
Dy2 0.799 0.495 0.353
Dy3 0.495 0.799 0.853
Dy4 0.201 0.505 0.647
Zn1 0.153 0.847 0.250
Zn2 0.847 0.153 0.750
Ni1 0.720 0.002 0.505
Ni2 0.998 0.280 0.995
Ni3 0.280 0.998 0.495
Ni4 0.002 0.720 0.005

Output
DFT formation energy: -0.459 eV/atom

---

Entry 5:
# AlHO

An optimized crystal structure of AlHO (PBE, the Alexandria database).

a = 3.712 Å, b = 5.855 Å, c = 5.855 Å
α = 84.23°, β = 71.52°, γ = 71.52°
Sites, in units of the cell vectors:
Al1 0.305 0.695 0.695
Al2 0.000 0.695 0.305
Al3 0.000 0.305 0.695
Al4 0.695 0.305 0.305
H1 0.155 0.000 0.690
H2 0.155 0.690 0.000
H3 0.845 0.000 0.310
H4 0.845 0.310 0.000
O1 0.836 0.664 0.664
O2 0.500 0.664 0.336
O3 0.500 0.336 0.664
O4 0.164 0.336 0.336

Output
Energy above the most stable polymorph in this dataset: 0.0 meV per atom

---

Entry 6:
# Li2OsW

An optimized crystal structure of Li2OsW (PBE, the Alexandria database).

a = 4.341 Å, b = 2.601 Å, c = 5.391 Å
α = 82.55°, β = 90.00°, γ = 90.00°
Sites, in units of the cell vectors:
Li1 0.000 0.037 0.029
Li2 0.500 0.243 0.231
Os1 0.000 0.472 0.528
W1 0.500 0.747 0.712

Output
DFT formation energy: 0.262 eV/atom
Energy above the most stable polymorph in this dataset: 74.4 meV per atom

---

Entry 7:
# InSiNi2

An optimized crystal structure of InSiNi2 (PBE, the Alexandria database).

a = 6.737 Å, b = 6.737 Å, c = 5.485 Å
α = 52.11°, β = 52.11°, γ = 90.00°
Sites, in units of the cell vectors:
Ni1 0.565 0.125 0.250
Ni2 0.185 0.625 0.250
Ni3 0.375 0.435 0.750
Ni4 0.875 0.815 0.750
Si1 0.500 0.500 0.000
Si2 0.250 0.750 0.500
In1 0.000 0.000 0.000
In2 0.750 0.250 0.500

Output
Formation energy from raw total energies: 0.0670 eV/atom

---

Entry 8:
# ZrIrPb2

An optimized crystal structure of ZrIrPb2 (PBE, the Alexandria database).

a = 4.192 Å, b = 4.540 Å, c = 4.540 Å
α = 90.00°, β = 90.00°, γ = 90.00°
Sites, in units of the cell vectors:
Ir1 0.500 0.000 0.500
Pb1 0.000 0.000 0.000
Pb2 0.000 0.500 0.500
Zr1 0.500 0.500 0.000

Output
DFT formation energy: 0.134 eV/atom
Energy above the most stable polymorph in this dataset: 193.8 meV per atom

---

Entry 9:
# Rb2PdCl5

An optimized crystal structure of Rb2PdCl5 (PBE, the Alexandria database).

a = 7.054 Å, b = 7.054 Å, c = 7.054 Å
α = 95.38°, β = 116.94°, γ = 116.94°
Sites, in units of the cell vectors:
Rb1 0.500 0.244 0.744
Rb2 0.500 0.744 0.244
Pd1 0.000 0.008 0.008
Cl1 0.552 0.766 0.766
Cl2 0.000 0.766 0.214
Cl3 0.000 0.214 0.766
Cl4 0.448 0.214 0.214
Cl5 0.000 0.268 0.268

Output
Energy above the most stable polymorph in this dataset: 58.3 meV per atom
Formation energy from raw total energies: -1.2041 eV/atom

---

Entry 10:
# Sr2NiSnPb

An optimized crystal structure of Sr2NiSnPb (PBE, the Alexandria database).

a = 5.716 Å, b = 5.716 Å, c = 4.841 Å
α = 90.00°, β = 90.00°, γ = 90.00°
Sites, in units of the cell vectors:
Pb1 0.500 0.500 0.500
Sr1 0.000 0.500 0.000
Sr2 0.500 0.000 0.000
Sn1 0.000 0.000 0.500
Ni1 0.000 0.000 0.000

Output
DFT formation energy: -0.329 eV/atom

---

Entry 11:
# Tb2Pm3Nd6In

An optimized crystal structure of Tb2Pm3Nd6In (PBE, the Alexandria database).

a = 6.273 Å, b = 6.273 Å, c = 11.916 Å
α = 95.12°, β = 95.12°, γ = 120.20°
Sites, in units of the cell vectors:
Tb1 0.334 0.666 0.000
Tb2 0.666 0.334 0.000
Pm1 0.169 0.831 0.500
Pm2 0.831 0.169 0.500
Pm3 0.500 0.500 0.500
Nd1 0.919 0.593 0.756
Nd2 0.755 0.755 0.246
Nd3 0.081 0.407 0.244
Nd4 0.593 0.919 0.756
Nd5 0.245 0.245 0.754
Nd6 0.407 0.081 0.244
In1 0.000 0.000 0.000

Output
DFT formation energy: -0.037 eV/atom

---

Entry 12:
# Rb2NiSI6

An optimized crystal structure of Rb2NiSI6 (PBE, the Alexandria database).

a = 8.022 Å, b = 8.022 Å, c = 7.953 Å
α = 59.71°, β = 59.71°, γ = 90.00°
Sites, in units of the cell vectors:
I1 0.245 0.245 0.509
I2 0.755 0.755 0.491
I3 0.236 0.236 0.000
I4 0.764 0.764 0.000
I5 0.764 0.236 0.000
I6 0.236 0.764 0.000
Ni1 0.000 0.000 0.000
S1 0.500 0.500 0.000
Rb1 0.750 0.250 0.500
Rb2 0.250 0.750 0.500

Output
Formation energy from raw total energies: -0.5060 eV/atom